Pm2Ni3Ge2 | PBE-GGA | optimized geometry

CIF file:
```
data_Pm2Ni3Ge2
_symmetry_space_group_name_H-M 'P 1'
_symmetry_Int_Tables_number 1
_cell_length_a 5.612
_cell_length_b 5.612
_cell_length_c 6.742
_cell_angle_alpha 113.97
_cell_angle_beta 113.97
_cell_angle_gamma 40.65
loop_
_symmetry_equiv_pos_as_xyz
'x,y,z'
loop_
_atom_site_label
_atom_site_type_symbol
_atom_site_fract_x
_atom_site_fract_y
_atom_site_fract_z
Pm1 Pm 0.134 0.134 0.260
Pm2 Pm 0.866 0.866 0.740
Ni1 Ni 0.375 0.375 0.073
Ni2 Ni 0.500 0.500 0.500
Ni3 Ni 0.625 0.625 0.927
Ge1 Ge 0.148 0.148 0.732
Ge2 Ge 0.852 0.852 0.268
```

Computed properties:
- Energy of formation from the pure elements: -0.574 eV per atom
- Calculated total energy: -5.729 eV per atom
- DOS(E_F): 0.625 states/eV per atom
- Spin magnetization: 0.00 μB/f.u.
- Symmetry: C2/m, No. 12